DFT (PBE with a Hubbard U) results for a relaxed structure of TaCoOF2.

Values from the calculation:
* offset from the most stable computed form: 0 meV/atom
* total DFT energy (no corrections): -32.55 eV for the cell shown

Geometry as CIF:
```
data_TaCoOF2
_chemical_formula_sum 'Ta1 Co1 O1 F2'
_space_group_name_H-M_alt 'P 1'
_space_group_IT_number 1
_cell_length_a 4.222
_cell_length_b 4.222
_cell_length_c 3.934
_cell_angle_alpha 90.00
_cell_angle_beta 90.00
_cell_angle_gamma 90.00
loop_
_space_group_symop_operation_xyz
'x,y,z'
loop_
_atom_site_label
_atom_site_type_symbol
_atom_site_fract_x
_atom_site_fract_y
_atom_site_fract_z
F1 F 0.500 0.000 0.000
F2 F 0.000 0.500 0.000
O1 O 0.000 0.000 0.500
Ta1 Ta 0.000 0.000 0.000
Co1 Co 0.500 0.500 0.500
```